(1)
LiScIn2Pt | SCAN | single point on PBEsol structure

Cell and atoms, written as CIF:
```
data_LiScIn2Pt
_cell_length_a 5.0176
_cell_length_b 5.1287
_cell_length_c 5.1287
_cell_angle_alpha 90.00
_cell_angle_beta 90.00
_cell_angle_gamma 90.00
_symmetry_space_group_name_H-M 'P 1'
_symmetry_Int_Tables_number 1
_symmetry_space_group_name_Hall 'P 1'
loop_
_atom_site_label
_atom_site_type_symbol
_atom_site_fract_x
_atom_site_fract_y
_atom_site_fract_z
_atom_site_occupancy
In1 In 0.0000 0.5000 0.0000 1
Pt1 Pt 0.0000 0.0000 0.0000 1
Li1 Li 0.5000 0.5000 0.5000 1
In2 In 0.0000 0.0000 0.5000 1
Sc1 Sc 0.5000 0.0000 0.0000 1
```

Properties
Raw total energy in eV/atom: -31.017
DFT formation energy in eV per atom: -0.299
Symmetry: P4/mmm (123)

---

(2)
RbLi2InRe | SCAN | single point on PBEsol structure

Cell and atoms, written as CIF:
```
data_RbLi2InRe
_cell_length_a 5.1941
_cell_length_b 5.3154
_cell_length_c 5.3154
_cell_angle_alpha 90.00
_cell_angle_beta 90.00
_cell_angle_gamma 90.00
_symmetry_space_group_name_H-M 'P 1'
_symmetry_Int_Tables_number 1
_symmetry_space_group_name_Hall 'P 1'
loop_
_atom_site_label
_atom_site_type_symbol
_atom_site_fract_x
_atom_site_fract_y
_atom_site_fract_z
_atom_site_occupancy
Li1 Li 0.0000 0.5000 0.0000 1
Rb1 Rb 0.5000 0.5000 0.5000 1
In1 In 0.0000 0.0000 0.0000 1
Li2 Li 0.0000 0.0000 0.5000 1
Re1 Re 0.5000 0.0000 0.0000 1
```

Properties
Raw total energy in eV/atom: -25.134
DFT formation energy in eV per atom: 0.866
Symmetry: P4/mmm (123)

---

(3)
Li2InRe | SCAN | single point on PBEsol structure

Cell and atoms, written as CIF:
```
data_Li2InRe
_cell_length_a 2.6772
_cell_length_b 5.3295
_cell_length_c 5.1553
_cell_angle_alpha 115.83
_cell_angle_beta 90.00
_cell_angle_gamma 104.55
_symmetry_space_group_name_H-M 'P 1'
_symmetry_Int_Tables_number 1
_symmetry_space_group_name_Hall 'P 1'
loop_
_atom_site_label
_atom_site_type_symbol
_atom_site_fract_x
_atom_site_fract_y
_atom_site_fract_z
_atom_site_occupancy
In1 In 0.2484 0.4968 0.6481 1
Li1 Li 0.7543 0.5086 0.1568 1
Re1 Re 0.5001 0.0002 0.6007 1
Li2 Li 0.9972 0.9944 0.0944 1
```

Properties
Raw total energy in eV/atom: -27.070
DFT formation energy in eV per atom: 0.246
Symmetry: Cm (8)

---

(4)
Li2InRe | SCAN | single point on PBEsol structure

Cell and atoms, written as CIF:
```
data_Li2InRe
_cell_length_a 2.6883
_cell_length_b 4.3168
_cell_length_c 5.5892
_cell_angle_alpha 90.00
_cell_angle_beta 90.00
_cell_angle_gamma 90.00
_symmetry_space_group_name_H-M 'P 1'
_symmetry_Int_Tables_number 1
_symmetry_space_group_name_Hall 'P 1'
loop_
_atom_site_label
_atom_site_type_symbol
_atom_site_fract_x
_atom_site_fract_y
_atom_site_fract_z
_atom_site_occupancy
Re1 Re 0.0000 0.0000 0.5031 1
Li1 Li 0.0000 0.0000 0.0143 1
Li2 Li 0.5000 0.5000 0.2560 1
In1 In 0.5000 0.5000 0.7266 1
```

Properties
Raw total energy in eV/atom: -27.013
DFT formation energy in eV per atom: 0.303
Symmetry: Pmm2 (25)

---

(5)
LiIn3Rh | SCAN | single point on PBEsol structure

Cell and atoms, written as CIF:
```
data_LiIn3Rh
_cell_length_a 4.6569
_cell_length_b 4.6569
_cell_length_c 4.6569
_cell_angle_alpha 90.00
_cell_angle_beta 90.00
_cell_angle_gamma 90.00
_symmetry_space_group_name_H-M 'P 1'
_symmetry_Int_Tables_number 1
_symmetry_space_group_name_Hall 'P 1'
loop_
_atom_site_label
_atom_site_type_symbol
_atom_site_fract_x
_atom_site_fract_y
_atom_site_fract_z
_atom_site_occupancy
Rh1 Rh 0.5000 0.5000 0.5000 1
In1 In 0.5000 0.0000 0.0000 1
In2 In 0.0000 0.5000 0.0000 1
In3 In 0.0000 0.0000 0.5000 1
Li1 Li 0.0000 0.0000 0.0000 1
```

Properties
Raw total energy in eV/atom: -26.679
DFT formation energy in eV per atom: 0.585
Symmetry: Pm-3m (221)

---

(6)
LiInRh | SCAN | single point on PBEsol structure

Cell and atoms, written as CIF:
```
data_LiInRh
_cell_length_a 4.2638
_cell_length_b 4.2638
_cell_length_c 5.6045
_cell_angle_alpha 90.00
_cell_angle_beta 90.00
_cell_angle_gamma 120.00
_symmetry_space_group_name_H-M 'P 1'
_symmetry_Int_Tables_number 1
_symmetry_space_group_name_Hall 'P 1'
loop_
_atom_site_label
_atom_site_type_symbol
_atom_site_fract_x
_atom_site_fract_y
_atom_site_fract_z
_atom_site_occupancy
In1 In 0.3333 0.6667 0.7500 1
Rh1 Rh 0.0000 0.0000 0.0000 1
In2 In 0.6667 0.3333 0.2500 1
Rh2 Rh 0.0000 0.0000 0.5000 1
Li1 Li 0.3333 0.6667 0.2500 1
Li2 Li 0.6667 0.3333 0.7500 1
```

Properties
Raw total energy in eV/atom: -23.597
DFT formation energy in eV per atom: -0.414
Symmetry: P6_3/mmc (194)

---

(7)
LiInRh | SCAN | single point on PBEsol structure

Cell and atoms, written as CIF:
```
data_LiInRh
_cell_length_a 2.9142
_cell_length_b 4.2307
_cell_length_c 4.2307
_cell_angle_alpha 120.00
_cell_angle_beta 90.00
_cell_angle_gamma 90.00
_symmetry_space_group_name_H-M 'P 1'
_symmetry_Int_Tables_number 1
_symmetry_space_group_name_Hall 'P 1'
loop_
_atom_site_label
_atom_site_type_symbol
_atom_site_fract_x
_atom_site_fract_y
_atom_site_fract_z
_atom_site_occupancy
Li1 Li 0.6330 0.3333 0.6667 1
In1 In 0.9633 0.0000 0.0000 1
Rh1 Rh 0.4037 0.6667 0.3333 1
```

Properties
Raw total energy in eV/atom: -23.560
DFT formation energy in eV per atom: -0.378
Symmetry: P3m1 (156)

---

(8)
LiIn4Rh | SCAN | single point on PBEsol structure

Cell and atoms, written as CIF:
```
data_LiIn4Rh
_cell_length_a 5.6906
_cell_length_b 5.6906
_cell_length_c 5.6906
_cell_angle_alpha 60.00
_cell_angle_beta 60.00
_cell_angle_gamma 60.00
_symmetry_space_group_name_H-M 'P 1'
_symmetry_Int_Tables_number 1
_symmetry_space_group_name_Hall 'P 1'
loop_
_atom_site_label
_atom_site_type_symbol
_atom_site_fract_x
_atom_site_fract_y
_atom_site_fract_z
_atom_site_occupancy
In1 In 0.3747 0.3747 0.8758 1
In2 In 0.3747 0.8758 0.3747 1
Li1 Li 0.7500 0.7500 0.7500 1
Rh1 Rh 0.0000 0.0000 0.0000 1
In3 In 0.8758 0.3747 0.3747 1
In4 In 0.3747 0.3747 0.3747 1
```

Properties
Raw total energy in eV/atom: -28.025
DFT formation energy in eV per atom: 0.259
Symmetry: F-43m (216)

---

(9)
LiInRh | SCAN | single point on PBEsol structure

Cell and atoms, written as CIF:
```
data_LiInRh
_cell_length_a 3.2183
_cell_length_b 3.2173
_cell_length_c 4.9110
_cell_angle_alpha 109.12
_cell_angle_beta 109.13
_cell_angle_gamma 90.00
_symmetry_space_group_name_H-M 'P 1'
_symmetry_Int_Tables_number 1
_symmetry_space_group_name_Hall 'P 1'
loop_
_atom_site_label
_atom_site_type_symbol
_atom_site_fract_x
_atom_site_fract_y
_atom_site_fract_z
_atom_site_occupancy
In1 In 0.9969 0.9969 0.9937 1
Li1 Li 0.6789 0.6789 0.3579 1
Rh1 Rh 0.3242 0.3242 0.6484 1
```

Properties
Raw total energy in eV/atom: -23.575
DFT formation energy in eV per atom: -0.392
Symmetry: I4mm (107)

---

(10)
LiInRu2 | SCAN | single point on PBEsol structure

Cell and atoms, written as CIF:
```
data_LiInRu2
_cell_length_a 2.9293
_cell_length_b 4.4858
_cell_length_c 4.4522
_cell_angle_alpha 90.00
_cell_angle_beta 90.00
_cell_angle_gamma 90.00
_symmetry_space_group_name_H-M 'P 1'
_symmetry_Int_Tables_number 1
_symmetry_space_group_name_Hall 'P 1'
loop_
_atom_site_label
_atom_site_type_symbol
_atom_site_fract_x
_atom_site_fract_y
_atom_site_fract_z
_atom_site_occupancy
Ru1 Ru 0.5000 0.0000 0.5000 1
Li1 Li 0.0000 0.5000 0.5000 1
Ru2 Ru 0.0000 0.0000 0.0000 1
In1 In 0.5000 0.5000 0.0000 1
```

Properties
Raw total energy in eV/atom: -26.207
DFT formation energy in eV per atom: 0.150
Symmetry: Pmmm (47)

---

(11)
LiInRu2 | SCAN | single point on PBEsol structure

Cell and atoms, written as CIF:
```
data_LiInRu2
_cell_length_a 2.9868
_cell_length_b 4.4026
_cell_length_c 5.1274
_cell_angle_alpha 115.42
_cell_angle_beta 106.93
_cell_angle_gamma 90.00
_symmetry_space_group_name_H-M 'P 1'
_symmetry_Int_Tables_number 1
_symmetry_space_group_name_Hall 'P 1'
loop_
_atom_site_label
_atom_site_type_symbol
_atom_site_fract_x
_atom_site_fract_y
_atom_site_fract_z
_atom_site_occupancy
In1 In 0.5000 0.0000 0.0000 1
Ru1 Ru 0.2572 0.2572 0.5144 1
Li1 Li 0.0000 0.5000 0.0000 1
Ru2 Ru 0.7428 0.7428 0.4856 1
```

Properties
Raw total energy in eV/atom: -26.182
DFT formation energy in eV per atom: 0.175
Symmetry: Immm (71)

---

(12)
Li4InRu | SCAN | single point on PBEsol structure

Cell and atoms, written as CIF:
```
data_Li4InRu
_cell_length_a 4.8787
_cell_length_b 4.8787
_cell_length_c 4.8787
_cell_angle_alpha 60.00
_cell_angle_beta 60.00
_cell_angle_gamma 60.00
_symmetry_space_group_name_H-M 'P 1'
_symmetry_Int_Tables_number 1
_symmetry_space_group_name_Hall 'P 1'
loop_
_atom_site_label
_atom_site_type_symbol
_atom_site_fract_x
_atom_site_fract_y
_atom_site_fract_z
_atom_site_occupancy
Li1 Li 0.3771 0.3771 0.3771 1
Li2 Li 0.8688 0.3771 0.3771 1
In1 In 0.0000 0.0000 0.0000 1
Li3 Li 0.3771 0.3771 0.8688 1
Li4 Li 0.3771 0.8688 0.3771 1
Ru1 Ru 0.7500 0.7500 0.7500 1
```

Properties
Raw total energy in eV/atom: -12.896
DFT formation energy in eV per atom: 0.066
Symmetry: F-43m (216)

---

(13)
LiIn2Ru | SCAN | single point on PBEsol structure

Cell and atoms, written as CIF:
```
data_LiIn2Ru
_cell_length_a 4.5460
_cell_length_b 4.5460
_cell_length_c 4.5460
_cell_angle_alpha 60.00
_cell_angle_beta 60.00
_cell_angle_gamma 60.00
_symmetry_space_group_name_H-M 'P 1'
_symmetry_Int_Tables_number 1
_symmetry_space_group_name_Hall 'P 1'
loop_
_atom_site_label
_atom_site_type_symbol
_atom_site_fract_x
_atom_site_fract_y
_atom_site_fract_z
_atom_site_occupancy
In1 In 0.2500 0.2500 0.2500 1
Li1 Li 0.0000 0.0000 0.0000 1
In2 In 0.7500 0.7500 0.7500 1
Ru1 Ru 0.5000 0.5000 0.5000 1
```

Properties
Raw total energy in eV/atom: -26.193
DFT formation energy in eV per atom: -0.196
Symmetry: Fm-3m (225)

---

(14)
LiIn2Ru | SCAN | single point on PBEsol structure

Cell and atoms, written as CIF:
```
data_LiIn2Ru
_cell_length_a 3.2143
_cell_length_b 4.5373
_cell_length_c 4.5372
_cell_angle_alpha 90.00
_cell_angle_beta 90.00
_cell_angle_gamma 90.00
_symmetry_space_group_name_H-M 'P 1'
_symmetry_Int_Tables_number 1
_symmetry_space_group_name_Hall 'P 1'
loop_
_atom_site_label
_atom_site_type_symbol
_atom_site_fract_x
_atom_site_fract_y
_atom_site_fract_z
_atom_site_occupancy
In1 In 0.0000 0.3752 0.5000 1
Ru1 Ru 0.5000 0.8754 0.5000 1
In2 In 0.0000 0.8747 0.0000 1
Li1 Li 0.5000 0.3746 0.0000 1
```

Properties
Raw total energy in eV/atom: -26.164
DFT formation energy in eV per atom: -0.166
Symmetry: P4/mmm (123)

---

(15)
LiInRu | SCAN | single point on PBEsol structure

Cell and atoms, written as CIF:
```
data_LiInRu
_cell_length_a 2.8963
_cell_length_b 2.8963
_cell_length_c 6.7740
_cell_angle_alpha 90.00
_cell_angle_beta 90.00
_cell_angle_gamma 120.00
_symmetry_space_group_name_H-M 'P 1'
_symmetry_Int_Tables_number 1
_symmetry_space_group_name_Hall 'P 1'
loop_
_atom_site_label
_atom_site_type_symbol
_atom_site_fract_x
_atom_site_fract_y
_atom_site_fract_z
_atom_site_occupancy
Ru1 Ru 0.6667 0.3333 0.3387 1
Li1 Li 0.3333 0.6667 0.6483 1
In1 In 0.0000 0.0000 0.0130 1
```

Properties
Raw total energy in eV/atom: -23.286
DFT formation energy in eV per atom: 0.249
Symmetry: P3m1 (156)

---

Magnetic moment list, top to bottom, in μB per formula unit: 0.00; 2.90; 0.00; 0.00; 0.00; 0.00; 0.00; 0.00; 0.00; 1.57; 0.02; 0.00; 0.00; 0.00; 0.15